# Sm2ZrAl2Pd5 (PBE, relaxed)
# calculated formation energy	-782	meV per atom
data_Sm2ZrAl2Pd5
_chemical_formula_sum 'Sm4 Zr2 Al4 Pd10'
_symmetry_space_group_name_H-M 'P 4/m b m'
_symmetry_Int_Tables_number 127
_symmetry_space_group_name_Hall '-P 4 2ab'
_cell_length_a 10.234
_cell_length_b 10.234
_cell_length_c 3.658
_cell_angle_alpha 90.00
_cell_angle_beta 90.00
_cell_angle_gamma 90.00
loop_
_atom_site_label
_atom_site_fract_x
_atom_site_fract_y
_atom_site_fract_z
Sm1 0.176 0.324 0.000
Zr1 0.000 0.000 0.000
Al1 0.121 0.621 0.000
Pd1 0.000 0.500 0.500
Pd2 0.059 0.793 0.500